Model one:
DFT (GGA-PBE) results for InAsIr2 after structural relaxation.

Cell and atoms, written as CIF:
```
data_InAsIr2
_chemical_formula_sum 'In2 As2 Ir4'
_space_group_name_H-M_alt 'C m m m'
_space_group_IT_number 65
_space_group_name_Hall '-C 2 2'
_cell_length_a 6.055
_cell_length_b 7.134
_cell_length_c 3.063
_cell_angle_alpha 90.00
_cell_angle_beta 90.00
_cell_angle_gamma 90.00
loop_
_atom_site_label
_atom_site_fract_x
_atom_site_fract_y
_atom_site_fract_z
_atom_site_occupancy
In1 0.000 0.000 0.000 1
As1 0.000 0.500 0.000 1
Ir1 0.250 0.250 0.500 1
```

Values from the calculation:
**D(E_F)**: 1.7 states/eV/f.u.
**Crystal system**: orthorhombic



Model two:
DFT (GGA-PBE) results for InAsIr2 after structural relaxation.

Cell and atoms, written as CIF:
```
data_InAsIr2
_chemical_formula_sum 'In3 As3 Ir6'
_space_group_name_H-M_alt 'R 3 m'
_space_group_IT_number 160
_space_group_name_Hall 'R 3 -2"'
_cell_length_a 2.9480
_cell_length_b 2.9480
_cell_length_c 29.8865
_cell_angle_alpha 90.00
_cell_angle_beta 90.00
_cell_angle_gamma 120.00
loop_
_atom_site_label
_atom_site_fract_x
_atom_site_fract_y
_atom_site_fract_z
_atom_site_occupancy
In1 0.0000 0.0000 0.0000 1
As1 0.0000 0.0000 0.7870 1
Ir1 0.0000 0.0000 0.2568 1
Ir2 0.0000 0.0000 0.5150 1
```

Values from the calculation:
**D(E_F)**: 4.0 states/eV/f.u.
**Crystal system**: trigonal



Model three:
DFT (GGA-PBE) results for InAsIr2 after structural relaxation.

Cell and atoms, written as CIF:
```
data_InAsIr2
_chemical_formula_sum 'In1 As1 Ir2'
_space_group_name_H-M_alt 'P m m m'
_space_group_IT_number 47
_cell_length_a 2.974
_cell_length_b 4.505
_cell_length_c 5.069
_cell_angle_alpha 90.00
_cell_angle_beta 90.00
_cell_angle_gamma 90.00
loop_
_space_group_symop_operation_xyz
'x,y,z'
'-x,-y,-z'
'-x,-y,z'
'x,y,-z'
'x,-y,-z'
'-x,y,z'
'-x,y,-z'
'x,-y,z'
loop_
_atom_site_label
_atom_site_fract_x
_atom_site_fract_y
_atom_site_fract_z
_atom_site_occupancy
In1 0.000 0.000 0.000 1
As1 0.500 0.000 0.500 1
Ir1 0.000 0.500 0.500 1
Ir2 0.500 0.500 0.000 1
```

Values from the calculation:
**D(E_F)**: 3.5 states/eV/f.u.
**Crystal system**: orthorhombic



What is the stability order? It is model one, model two, model three, from most stable to least stable.



Model one:
DFT (GGA-PBE) results for InAsIr2 after structural relaxation.

Cell and atoms, written as CIF:
```
data_InAsIr2
_chemical_formula_sum 'In2 As2 Ir4'
_space_group_name_H-M_alt 'C m m m'
_space_group_IT_number 65
_space_group_name_Hall '-C 2 2'
_cell_length_a 2.994
_cell_length_b 5.168
_cell_length_c 8.789
_cell_angle_alpha 90.00
_cell_angle_beta 90.00
_cell_angle_gamma 90.00
loop_
_atom_site_label
_atom_site_fract_x
_atom_site_fract_y
_atom_site_fract_z
_atom_site_occupancy
In1 0.000 0.000 0.000 1
As1 0.000 0.000 0.500 1
Ir1 0.000 0.500 0.262 1
```

Values from the calculation:
**D(E_F)**: 1.8 states/eV/f.u.
**Crystal system**: orthorhombic



Model two:
DFT (GGA-PBE) results for InAsIr2 after structural relaxation.

Cell and atoms, written as CIF:
```
data_InAsIr2
_chemical_formula_sum 'In1 As1 Ir2'
_space_group_name_H-M_alt 'P 1 2/m 1'
_space_group_IT_number 10
_cell_length_a 4.566
_cell_length_b 3.032
_cell_length_c 5.183
_cell_angle_alpha 90.00
_cell_angle_beta 111.95
_cell_angle_gamma 90.00
loop_
_space_group_symop_operation_xyz
'x,y,z'
'-x,-y,-z'
'-x,y,-z'
'x,-y,z'
loop_
_atom_site_label
_atom_site_fract_x
_atom_site_fract_y
_atom_site_fract_z
_atom_site_occupancy
In1 0.000 0.000 0.000 1
As1 0.000 0.500 0.500 1
Ir1 0.500 0.000 0.500 1
Ir2 0.500 0.500 0.000 1
```

Values from the calculation:
**D(E_F)**: 2.3 states/eV/f.u.
**Crystal system**: monoclinic



Model three:
DFT (GGA-PBE) results for InAsIr2 after structural relaxation.

Cell and atoms, written as CIF:
```
data_InAsIr2
_chemical_formula_sum 'In2 As2 Ir4'
_space_group_name_H-M_alt 'I 4/m m m'
_space_group_IT_number 139
_space_group_name_Hall '-I 4 2'
_cell_length_a 4.267
_cell_length_b 4.267
_cell_length_c 7.253
_cell_angle_alpha 90.00
_cell_angle_beta 90.00
_cell_angle_gamma 90.00
loop_
_atom_site_label
_atom_site_fract_x
_atom_site_fract_y
_atom_site_fract_z
_atom_site_occupancy
In1 0.000 0.000 0.000 1
As1 0.000 0.000 0.500 1
Ir1 0.000 0.500 0.250 1
```

Values from the calculation:
**D(E_F)**: 1.0 states/eV/f.u.
**Crystal system**: tetragonal



Model four:
DFT (GGA-PBE) results for InAsIr2 after structural relaxation.

Cell and atoms, written as CIF:
```
data_InAsIr2
_chemical_formula_sum 'In1 As1 Ir2'
_space_group_name_H-M_alt 'P m m m'
_space_group_IT_number 47
_cell_length_a 3.061
_cell_length_b 3.531
_cell_length_c 6.094
_cell_angle_alpha 90.00
_cell_angle_beta 90.00
_cell_angle_gamma 90.00
loop_
_space_group_symop_operation_xyz
'x,y,z'
'-x,-y,-z'
'-x,-y,z'
'x,y,-z'
'x,-y,-z'
'-x,y,z'
'-x,y,-z'
'x,-y,z'
loop_
_atom_site_label
_atom_site_fract_x
_atom_site_fract_y
_atom_site_fract_z
_atom_site_occupancy
In1 0.000 0.000 0.000 1
As1 0.000 0.000 0.500 1
Ir1 0.500 0.500 0.264 1
```

Values from the calculation:
**D(E_F)**: 1.2 states/eV/f.u.
**Crystal system**: orthorhombic



What is the stability order? It is model four, model two, model three, model one, from most stable to least stable.



Model one:
DFT (GGA-PBE) results for InAsIr2 after structural relaxation.

Cell and atoms, written as CIF:
```
data_InAsIr2
_chemical_formula_sum 'In4 As4 Ir8'
_space_group_name_H-M_alt 'F -4 3 m'
_space_group_IT_number 216
_space_group_name_Hall 'F -4 2 3'
_cell_length_a 6.480
_cell_length_b 6.480
_cell_length_c 6.480
_cell_angle_alpha 90.00
_cell_angle_beta 90.00
_cell_angle_gamma 90.00
loop_
_atom_site_label
_atom_site_fract_x
_atom_site_fract_y
_atom_site_fract_z
_atom_site_occupancy
In1 0.000 0.000 0.000 1
As1 0.250 0.250 0.250 1
Ir1 0.000 0.000 0.500 1
Ir2 0.250 0.250 0.750 1
```

Values from the calculation:
**D(E_F)**: 3.2 states/eV/f.u.
**Crystal system**: cubic



Model two:
DFT (GGA-PBE) results for InAsIr2 after structural relaxation.

Cell and atoms, written as CIF:
```
data_InAsIr2
_chemical_formula_sum 'In3 As3 Ir6'
_space_group_name_H-M_alt 'R -3 m'
_space_group_IT_number 166
_space_group_name_Hall '-R 3 2"'
_cell_length_a 3.0125
_cell_length_b 3.0125
_cell_length_c 25.1541
_cell_angle_alpha 90.00
_cell_angle_beta 90.00
_cell_angle_gamma 120.00
loop_
_atom_site_label
_atom_site_fract_x
_atom_site_fract_y
_atom_site_fract_z
_atom_site_occupancy
In1 0.0000 0.0000 0.0000 1
As1 0.0000 0.0000 0.5000 1
Ir1 0.0000 0.0000 0.2433 1
```

Values from the calculation:
**D(E_F)**: 0.7 states/eV/f.u.
**Crystal system**: trigonal



Model three:
DFT (GGA-PBE) results for InAsIr2 after structural relaxation.

Cell and atoms, written as CIF:
```
data_InAsIr2
_chemical_formula_sum 'In2 As2 Ir4'
_space_group_name_H-M_alt 'I -4 m 2'
_space_group_IT_number 119
_space_group_name_Hall 'I -4 -2'
_cell_length_a 3.833
_cell_length_b 3.833
_cell_length_c 9.111
_cell_angle_alpha 90.00
_cell_angle_beta 90.00
_cell_angle_gamma 90.00
loop_
_atom_site_label
_atom_site_fract_x
_atom_site_fract_y
_atom_site_fract_z
_atom_site_occupancy
In1 0.000 0.000 0.000 1
As1 0.000 0.500 0.250 1
Ir1 0.000 0.000 0.500 1
Ir2 0.000 0.500 0.750 1
```

Values from the calculation:
**D(E_F)**: 3.1 states/eV/f.u.
**Crystal system**: tetragonal



What is the stability order? It is model two, model three, model one, from most stable to least stable.



Model one:
DFT (GGA-PBE) results for InAsIr2 after structural relaxation.

Cell and atoms, written as CIF:
```
data_InAsIr2
_chemical_formula_sum 'In1 As1 Ir2'
_space_group_name_H-M_alt 'P 4/m m m'
_space_group_IT_number 123
_space_group_name_Hall '-P 4 2'
_cell_length_a 4.303
_cell_length_b 4.303
_cell_length_c 3.575
_cell_angle_alpha 90.00
_cell_angle_beta 90.00
_cell_angle_gamma 90.00
loop_
_atom_site_label
_atom_site_fract_x
_atom_site_fract_y
_atom_site_fract_z
_atom_site_occupancy
In1 0.000 0.000 0.000 1
As1 0.500 0.500 0.000 1
Ir1 0.000 0.500 0.500 1
```

Values from the calculation:
**D(E_F)**: 2.1 states/eV/f.u.
**Crystal system**: tetragonal



Model two:
DFT (GGA-PBE) results for InAsIr2 after structural relaxation.

Cell and atoms, written as CIF:
```
data_InAsIr2
_chemical_formula_sum 'In2 As2 Ir4'
_space_group_name_H-M_alt 'C 1 m 1'
_space_group_IT_number 8
_cell_length_a 8.639
_cell_length_b 2.989
_cell_length_c 5.866
_cell_angle_alpha 90.00
_cell_angle_beta 98.44
_cell_angle_gamma 90.00
loop_
_space_group_symop_operation_xyz
'x,y,z'
'x,-y,z'
'x+1/2,y+1/2,z'
'x+1/2,-y+1/2,z'
loop_
_atom_site_label
_atom_site_fract_x
_atom_site_fract_y
_atom_site_fract_z
_atom_site_occupancy
In1 0.000 0.000 0.000 1
As1 0.301 0.500 0.450 1
Ir1 0.019 0.500 0.422 1
Ir2 0.250 0.000 0.766 1
```

Values from the calculation:
**D(E_F)**: 1.6 states/eV/f.u.
**Crystal system**: monoclinic



What is the stability order? It is model two, model one, from most stable to least stable.



Model one:
DFT (GGA-PBE) results for In2AsIr2 after structural relaxation.

Cell and atoms, written as CIF:
```
data_In2AsIr2
_chemical_formula_sum 'In4 As2 Ir4'
_space_group_name_H-M_alt 'I 4/m m m'
_space_group_IT_number 139
_space_group_name_Hall '-I 4 2'
_cell_length_a 3.657
_cell_length_b 3.657
_cell_length_c 15.428
_cell_angle_alpha 90.00
_cell_angle_beta 90.00
_cell_angle_gamma 90.00
loop_
_atom_site_label
_atom_site_fract_x
_atom_site_fract_y
_atom_site_fract_z
_atom_site_occupancy
In1 0.000 0.000 0.107 1
As1 0.000 0.000 0.500 1
Ir1 0.000 0.500 0.250 1
```

Values from the calculation:
**D(E_F)**: 6.4 states/eV/f.u.
**Crystal system**: tetragonal



Model two:
DFT (GGA-PBE) results for In2AsIr2 after structural relaxation.

Cell and atoms, written as CIF:
```
data_In2AsIr2
_chemical_formula_sum 'In4 As2 Ir4'
_space_group_name_H-M_alt 'P 4/m b m'
_space_group_IT_number 127
_space_group_name_Hall '-P 4 2ab'
_cell_length_a 7.713
_cell_length_b 7.713
_cell_length_c 3.112
_cell_angle_alpha 90.00
_cell_angle_beta 90.00
_cell_angle_gamma 90.00
loop_
_atom_site_label
_atom_site_fract_x
_atom_site_fract_y
_atom_site_fract_z
_atom_site_occupancy
In1 0.152 0.348 0.000 1
As1 0.000 0.000 0.500 1
Ir1 0.146 0.646 0.500 1
```

Values from the calculation:
**D(E_F)**: 3.6 states/eV/f.u.
**Crystal system**: tetragonal



What is the stability order? It is model two, model one, from most stable to least stable.



Model one:
DFT (GGA-PBE) results for In2AsIr2 after structural relaxation.

Cell and atoms, written as CIF:
```
data_In2AsIr2
_chemical_formula_sum 'In4 As2 Ir4'
_space_group_name_H-M_alt 'I 4/m m m'
_space_group_IT_number 139
_space_group_name_Hall '-I 4 2'
_cell_length_a 3.939
_cell_length_b 3.939
_cell_length_c 12.774
_cell_angle_alpha 90.00
_cell_angle_beta 90.00
_cell_angle_gamma 90.00
loop_
_atom_site_label
_atom_site_fract_x
_atom_site_fract_y
_atom_site_fract_z
_atom_site_occupancy
In1 0.000 0.500 0.250 1
As1 0.000 0.000 0.000 1
Ir1 0.000 0.000 0.400 1
```

Values from the calculation:
**D(E_F)**: 2.7 states/eV/f.u.
**Crystal system**: tetragonal



Model two:
DFT (GGA-PBE) results for In2AsIr2 after structural relaxation.

Cell and atoms, written as CIF:
```
data_In2AsIr2
_chemical_formula_sum 'In4 As2 Ir4'
_space_group_name_H-M_alt 'P 4/m b m'
_space_group_IT_number 127
_space_group_name_Hall '-P 4 2ab'
_cell_length_a 7.921
_cell_length_b 7.921
_cell_length_c 2.995
_cell_angle_alpha 90.00
_cell_angle_beta 90.00
_cell_angle_gamma 90.00
loop_
_atom_site_label
_atom_site_fract_x
_atom_site_fract_y
_atom_site_fract_z
_atom_site_occupancy
In1 0.143 0.357 0.000 1
As1 0.000 0.000 0.000 1
Ir1 0.154 0.654 0.500 1
```

Values from the calculation:
**D(E_F)**: 1.3 states/eV/f.u.
**Crystal system**: tetragonal



What is the stability order? It is model two, model one, from most stable to least stable.